Here is a relaxed structure of CdSBr2 from Alexandria. Energies are from PBE.

a = 3.935 Å, b = 6.990 Å, c = 11.025 Å
α = 75.18°, β = 82.23°, γ = 89.06°
Atoms (fractional coordinates):
S1 0.110 0.893 0.700
S2 0.705 0.736 0.700
Br1 0.950 0.613 0.090
Br2 0.505 0.167 0.940
Br3 0.309 0.450 0.467
Br4 0.853 0.020 0.319
Cd1 0.857 0.638 0.327
Cd2 0.949 0.236 0.083

## Properties
Mass density ... 3.48 g cm⁻³
E above lowest polymorph ... 27 meV per atom
V ... 145.2 Å³/f.u.